[1]
# Li2Ta2Ge (PBE, optimized geometry)
data_Li2Ta2Ge
_chemical_formula_sum 'Li4 Ta4 Ge2'
_cell_length_a 6.030
_cell_length_b 6.030
_cell_length_c 4.036
_cell_angle_alpha 90.00
_cell_angle_beta 90.00
_cell_angle_gamma 90.00
_symmetry_space_group_name_H-M 'P 4/m b m'
_symmetry_Int_Tables_number 127
_symmetry_space_group_name_Hall '-P 4 2ab'
loop_
_atom_site_label
_atom_site_type_symbol
_atom_site_fract_x
_atom_site_fract_y
_atom_site_fract_z
Li1 Li 0.133 0.367 0.000
Ta1 Ta 0.165 0.665 0.500
Ge1 Ge 0.000 0.000 0.000
# ΔE to the lowest computed polymorph = 0.00 eV per formula unit
# total magnetic moment = 0.000 μB per atom
# energy relative to the elements = 0.306 eV per atom
# density of states at the Fermi level = 6.58 states/eV/cell

=====

[2]
# K2ReSb (PBE, optimized geometry)
data_K2ReSb
_chemical_formula_sum 'K2 Re1 Sb1'
_cell_length_a 3.546
_cell_length_b 3.546
_cell_length_c 10.434
_cell_angle_alpha 90.00
_cell_angle_beta 90.00
_cell_angle_gamma 90.00
_symmetry_space_group_name_H-M 'P 4 m m'
_symmetry_Int_Tables_number 99
_symmetry_space_group_name_Hall 'P 4 -2'
loop_
_atom_site_label
_atom_site_type_symbol
_atom_site_fract_x
_atom_site_fract_y
_atom_site_fract_z
K1 K 0.000 0.000 0.000
K2 K 0.500 0.500 0.413
Re1 Re 0.000 0.000 0.652
Sb1 Sb 0.500 0.500 0.754
# uncorrected formation energy = 213.2 kJ/mol of formula units
# total magnetic moment = 0.109 μB per atom
# density of states at the Fermi level = 3.99 states/eV/cell

=====

[3]
# Be2CrCl (PBE, optimized geometry)
data_Be2CrCl
_chemical_formula_sum 'Be4 Cr2 Cl2'
_cell_length_a 4.772
_cell_length_b 7.248
_cell_length_c 2.897
_cell_angle_alpha 90.00
_cell_angle_beta 90.00
_cell_angle_gamma 90.00
_symmetry_space_group_name_H-M 'C m m m'
_symmetry_Int_Tables_number 65
_symmetry_space_group_name_Hall '-C 2 2'
loop_
_atom_site_label
_atom_site_type_symbol
_atom_site_fract_x
_atom_site_fract_y
_atom_site_fract_z
Be1 Be 0.250 0.250 0.000
Cr1 Cr 0.000 0.000 0.500
Cl1 Cl 0.000 0.500 0.500
# uncorrected formation energy = 218.5 kJ/mol of formula units
# ΔE to the lowest computed polymorph = 1.49 eV per formula unit
# total magnetic moment = 0.710 μB per atom
# density of states at the Fermi level = 4.45 states/eV/cell

=====

[4]
# SrMgIn2 (PBE, optimized geometry)
data_SrMgIn2
_chemical_formula_sum 'Sr2 Mg2 In4'
_cell_length_a 4.910
_cell_length_b 4.910
_cell_length_c 9.546
_cell_angle_alpha 90.00
_cell_angle_beta 90.00
_cell_angle_gamma 90.00
_symmetry_space_group_name_H-M 'I -4 m 2'
_symmetry_Int_Tables_number 119
_symmetry_space_group_name_Hall 'I -4 -2'
loop_
_atom_site_label
_atom_site_type_symbol
_atom_site_fract_x
_atom_site_fract_y
_atom_site_fract_z
Sr1 Sr 0.000 0.000 0.000
Mg1 Mg 0.000 0.500 0.250
In1 In 0.000 0.000 0.500
In2 In 0.000 0.500 0.750
# total magnetic moment = 0.000 μB per atom
# energy relative to the elements = -0.195 eV per atom
# density of states at the Fermi level = 4.27 states/eV/cell

=====

[5]
# Sc7Zn2Rh2 (PBE, optimized geometry)
data_Sc7Zn2Rh2
_chemical_formula_sum 'Sc14 Zn4 Rh4'
_cell_length_a 7.268
_cell_length_b 9.988
_cell_length_c 6.634
_cell_angle_alpha 90.00
_cell_angle_beta 90.00
_cell_angle_gamma 90.00
_symmetry_space_group_name_H-M 'C m m m'
_symmetry_Int_Tables_number 65
_symmetry_space_group_name_Hall '-C 2 2'
loop_
_atom_site_label
_atom_site_type_symbol
_atom_site_fract_x
_atom_site_fract_y
_atom_site_fract_z
Sc1 Sc 0.000 0.000 0.000
Sc2 Sc 0.000 0.500 0.262
Sc3 Sc 0.250 0.250 0.265
Zn1 Zn 0.172 0.000 0.500
Rh1 Rh 0.000 0.293 0.000
# total magnetic moment = 0.000 μB per atom
# energy relative to the elements = -0.310 eV per atom
# density of states at the Fermi level = 21.10 states/eV/cell

=====

[6]
# Hf3ReSe (PBE, optimized geometry)
data_Hf3ReSe
_chemical_formula_sum 'Hf3 Re1 Se1'
_cell_length_a 5.046
_cell_length_b 5.046
_cell_length_c 5.046
_cell_angle_alpha 90.00
_cell_angle_beta 90.00
_cell_angle_gamma 90.00
_symmetry_space_group_name_H-M 'P m -3 m'
_symmetry_Int_Tables_number 221
_symmetry_space_group_name_Hall '-P 4 2 3'
loop_
_atom_site_label
_atom_site_type_symbol
_atom_site_fract_x
_atom_site_fract_y
_atom_site_fract_z
Hf1 Hf 0.000 0.000 0.500
Re1 Re 0.000 0.000 0.000
Se1 Se 0.500 0.500 0.500
# uncorrected formation energy = 234.9 kJ/mol of formula units
# ΔE to the lowest computed polymorph = 0.00 eV per formula unit
# total magnetic moment = 0.000 μB per atom
# density of states at the Fermi level = 5.40 states/eV/cell

=====

[7]
# SrPmSe (PBE, optimized geometry)
data_SrPmSe
_chemical_formula_sum 'Sr4 Pm4 Se4'
_cell_length_a 4.003
_cell_length_b 5.787
_cell_length_c 17.674
_cell_angle_alpha 90.00
_cell_angle_beta 90.00
_cell_angle_gamma 90.00
_symmetry_space_group_name_H-M 'I m m m'
_symmetry_Int_Tables_number 71
_symmetry_space_group_name_Hall '-I 2 2'
loop_
_atom_site_label
_atom_site_type_symbol
_atom_site_fract_x
_atom_site_fract_y
_atom_site_fract_z
Sr1 Sr 0.000 0.000 0.172
Pm1 Pm 0.000 0.243 0.500
Se1 Se 0.000 0.000 0.345
# uncorrected formation energy = -231.7 kJ/mol of formula units
# total magnetic moment = 0.042 μB per atom
# density of states at the Fermi level = 11.87 states/eV/cell

=====

[8]
# LaBMo2 (PBE, optimized geometry)
data_LaBMo2
_chemical_formula_sum 'La4 B4 Mo8'
_cell_length_a 5.918
_cell_length_b 5.918
_cell_length_c 10.410
_cell_angle_alpha 90.00
_cell_angle_beta 90.00
_cell_angle_gamma 90.00
_symmetry_space_group_name_H-M 'I 41/a m d'
_symmetry_Int_Tables_number 141
loop_
_symmetry_equiv_pos_as_xyz
'x,y,z'
'-x,-y,-z'
'-y+1/4,x+3/4,z+1/4'
'y+1/4,-x+3/4,-z+1/4'
'-x+1/2,-y,z+1/2'
'x+1/2,y,-z+1/2'
'y+1/4,-x+1/4,z+3/4'
'-y+1/4,x+1/4,-z+3/4'
'x,-y,-z'
'-x,y,z'
'-y+1/4,-x+1/4,-z+3/4'
'y+1/4,x+1/4,z+3/4'
'-x+1/2,y,-z+1/2'
'x+1/2,-y,z+1/2'
'y+1/4,x+3/4,-z+1/4'
'-y+1/4,-x+3/4,z+1/4'
'x+1/2,y+1/2,z+1/2'
'-x+1/2,-y+1/2,-z+1/2'
'-y+3/4,x+1/4,z+3/4'
'y+3/4,-x+1/4,-z+3/4'
'-x,-y+1/2,z'
'x,y+1/2,-z'
'y+3/4,-x+3/4,z+1/4'
'-y+3/4,x+3/4,-z+1/4'
'x+1/2,-y+1/2,-z+1/2'
'-x+1/2,y+1/2,z+1/2'
'-y+3/4,-x+3/4,-z+1/4'
'y+3/4,x+3/4,z+1/4'
'-x,y+1/2,-z'
'x,-y+1/2,z'
'y+3/4,x+1/4,-z+3/4'
'-y+3/4,-x+1/4,z+3/4'
loop_
_atom_site_label
_atom_site_type_symbol
_atom_site_fract_x
_atom_site_fract_y
_atom_site_fract_z
La1 La 0.000 0.250 0.375
B1 B 0.000 0.250 0.875
Mo1 Mo 0.000 0.000 0.000
# total magnetic moment = 0.000 μB per atom
# energy relative to the elements = 0.852 eV per atom
# density of states at the Fermi level = 19.38 states/eV/cell

=====

[9]
# Sn2Te2Se (PBE, optimized geometry)
data_Sn2Te2Se
_chemical_formula_sum 'Sn6 Te6 Se3'
_cell_length_a 4.1994
_cell_length_b 4.1994
_cell_length_c 30.4854
_cell_angle_alpha 90.00
_cell_angle_beta 90.00
_cell_angle_gamma 120.00
_symmetry_space_group_name_H-M 'R -3 m'
_symmetry_Int_Tables_number 166
_symmetry_space_group_name_Hall '-R 3 2"'
loop_
_atom_site_label
_atom_site_type_symbol
_atom_site_fract_x
_atom_site_fract_y
_atom_site_fract_z
Sn1 Sn 0.0000 0.0000 0.1075
Te1 Te 0.0000 0.0000 0.2819
Se1 Se 0.0000 0.0000 0.5000
# uncorrected formation energy = -122.7 kJ/mol of formula units
# ΔE to the lowest computed polymorph = 0.00 eV per formula unit
# total magnetic moment = 0.000 μB per atom
# density of states at the Fermi level = 5.84 states/eV/cell

=====

[10]
# CsMnSe4 (PBE, optimized geometry)
data_CsMnSe4
_chemical_formula_sum 'Cs4 Mn4 Se16'
_cell_length_a 14.965
_cell_length_b 7.920
_cell_length_c 6.414
_cell_angle_alpha 90.00
_cell_angle_beta 98.21
_cell_angle_gamma 90.00
_symmetry_space_group_name_H-M 'C 1 2/m 1'
_symmetry_Int_Tables_number 12
_symmetry_space_group_name_Hall '-C 2y'
loop_
_atom_site_label
_atom_site_type_symbol
_atom_site_fract_x
_atom_site_fract_y
_atom_site_fract_z
Cs1 Cs 0.189 0.000 0.155
Mn1 Mn 0.009 0.500 0.300
Se1 Se 0.000 0.317 0.000
Se2 Se 0.084 0.296 0.533
Se3 Se 0.182 0.500 0.296
# uncorrected formation energy = -239.5 kJ/mol of formula units
# total magnetic moment = 0.000 μB per atom

=====

[11]
# Zn2CdPt2 (PBE, optimized geometry)
data_Zn2CdPt2
_chemical_formula_sum 'Zn4 Cd2 Pt4'
_cell_length_a 4.040
_cell_length_b 4.040
_cell_length_c 10.862
_cell_angle_alpha 90.00
_cell_angle_beta 90.00
_cell_angle_gamma 90.00
_symmetry_space_group_name_H-M 'I 4/m m m'
_symmetry_Int_Tables_number 139
_symmetry_space_group_name_Hall '-I 4 2'
loop_
_atom_site_label
_atom_site_type_symbol
_atom_site_fract_x
_atom_site_fract_y
_atom_site_fract_z
Zn1 Zn 0.000 0.000 0.109
Cd1 Cd 0.000 0.000 0.500
Pt1 Pt 0.000 0.500 0.250
# ΔE to the lowest computed polymorph = 1.23 eV per formula unit
# total magnetic moment = 0.000 μB per atom
# energy relative to the elements = -0.189 eV per atom
# density of states at the Fermi level = 3.06 states/eV/cell

=====

[12]
# ZnCoSb2I (PBE, optimized geometry)
data_ZnCoSb2I
_chemical_formula_sum 'Zn1 Co1 Sb2 I1'
_cell_length_a 4.869
_cell_length_b 4.869
_cell_length_c 5.703
_cell_angle_alpha 90.00
_cell_angle_beta 90.00
_cell_angle_gamma 90.00
_symmetry_space_group_name_H-M 'P 4/m m m'
_symmetry_Int_Tables_number 123
_symmetry_space_group_name_Hall '-P 4 2'
loop_
_atom_site_label
_atom_site_type_symbol
_atom_site_fract_x
_atom_site_fract_y
_atom_site_fract_z
Zn1 Zn 0.000 0.000 0.000
Co1 Co 0.500 0.500 0.500
Sb1 Sb 0.000 0.500 0.500
I1 I 0.500 0.500 0.000
# uncorrected formation energy = 207.9 kJ/mol of formula units
# ΔE to the lowest computed polymorph = 0.00 eV per formula unit
# total magnetic moment = 0.000 μB per atom
# density of states at the Fermi level = 4.32 states/eV/cell